LaCoO3 after structural relaxation, computed with PBE with a Hubbard U.

Calculated values
symmetry = R-3c, No. 167
total DFT energy (no corrections) = -7.1123 eV/atom

Unit cell a=6.3432 b=6.3432 c=6.3432 alpha=53.96 beta=53.96 gamma=53.96
Last column: nearest neighbours and their distance in Å.
Atoms (fractional coordinates):
O1 0.2500 0.5583 0.9417  1 Co 1.77
O2 0.5583 0.9417 0.2500  1 Co 1.77
O3 0.7500 0.4417 0.0583  1 Co 1.77
O4 0.9417 0.2500 0.5583  1 Co 1.77
O5 0.0583 0.7500 0.4417  1 Co 1.77
O6 0.4417 0.0583 0.7500  1 Co 1.77
La1 0.5000 0.5000 0.5000  6 O 2.41
La2 0.0000 0.0000 0.0000  6 O 2.41
Co1 0.7500 0.7500 0.7500  3 O 1.77
Co2 0.2500 0.2500 0.2500  3 O 1.77